Entry 1:
Below is ErUSe2S after structural relaxation, with properties calculated at the PBE-GGA level.

Computed properties:
Energy relative to the elements, uncorrected in eV/atom: -1.42

Cell: 4.104 4.104 14.113 Å, 90.00 90.00 90.00°
Space group P4/nmm (No. 129, origin choice 2)
Inequivalent atoms, fractional coordinates:
1 Er 0.250 0.250 0.097 [2 per cell]
2 U 0.250 0.250 0.626 [2 per cell]
3 Se 0.250 0.250 0.296 [2 per cell]
4 Se 0.250 0.250 0.892 [2 per cell]
5 S 0.250 0.750 0.500 [2 per cell]



Entry 2:
Below is NaMgCo2Pb after structural relaxation, with properties calculated at the PBE-GGA level.

Computed properties:
ΔH_f (0 K) in eV/atom: 1.0585

Cell: 4.912 4.912 5.396 Å, 90.00 90.00 90.00°
Space group P4/mmm (No. 123)
Inequivalent atoms, fractional coordinates:
1 Na 0.000 0.000 0.000 [1 per cell]
2 Mg 0.500 0.500 0.000 [1 per cell]
3 Co 0.000 0.500 0.500 [2 per cell]
4 Pb 0.000 0.000 0.500 [1 per cell]



Entry 3:
Below is HoTi2V after structural relaxation, with properties calculated at the PBE-GGA level.

Computed properties:
ΔH_f (0 K) in eV/atom: 0.1563

Cell: 3.312 3.312 7.020 Å, 90.00 90.00 90.00°
Space group P4/mmm (No. 123)
Inequivalent atoms, fractional coordinates:
1 Ho 0.000 0.000 0.000 [1 per cell]
2 Ti 0.500 0.500 0.309 [2 per cell]
3 V 0.000 0.000 0.500 [1 per cell]



Entry 4:
Below is PmHfHgAu after structural relaxation, with properties calculated at the PBE-GGA level.

Computed properties:
ΔH_f (0 K) in eV/atom: -0.2911

Cell: 7.204 7.204 7.204 Å, 90.00 90.00 90.00°
Space group F-43m (No. 216)
Inequivalent atoms, fractional coordinates:
1 Pm 0.000 0.000 0.000 [4 per cell]
2 Hf 0.000 0.000 0.500 [4 per cell]
3 Hg 0.250 0.250 0.250 [4 per cell]
4 Au 0.250 0.250 0.750 [4 per cell]



Entry 5:
Below is La3ReN6 after structural relaxation, with properties calculated at the PBE-GGA level.

Computed properties:
Energy relative to the elements, uncorrected in eV/atom: -0.82

Cell: 9.953 12.612 5.516 Å, 90.00 90.00 90.00°
Space group Cmc2_1 (No. 36)
Inequivalent atoms, fractional coordinates:
1 La 0.000 0.108 0.000 [4 per cell]
2 La 0.195 0.392 0.028 [8 per cell]
3 Re 0.000 0.304 0.574 [4 per cell]
4 N 0.000 0.295 0.239 [4 per cell]
5 N 0.000 0.439 0.694 [4 per cell]
6 N 0.145 0.241 0.717 [8 per cell]
7 N 0.158 0.007 0.270 [8 per cell]



Entry 6:
Below is BaHg2GeBi after structural relaxation, with properties calculated at the PBE-GGA level.

Computed properties:
ΔH_f (0 K) in eV/atom: -0.2012

Cell: 5.428 5.428 5.809 Å, 90.00 90.00 90.00°
Space group P4/mmm (No. 123)
Inequivalent atoms, fractional coordinates:
1 Ba 0.000 0.000 0.000 [1 per cell]
2 Hg 0.000 0.500 0.500 [2 per cell]
3 Ge 0.500 0.500 0.500 [1 per cell]
4 Bi 0.500 0.500 0.000 [1 per cell]



Entry 7:
Below is TaReTc2 after structural relaxation, with properties calculated at the PBE-GGA level.

Computed properties:
ΔH_f (0 K) in eV/atom: 0.1238
Offset from the most stable computed form in meV/atom: 201

Cell: 2.7808 2.7808 28.0525 Å, 90.00 90.00 120.00°
Space group R3m (No. 160, hexagonal axes)
Inequivalent atoms, fractional coordinates:
1 Ta 0.0000 0.0000 0.0000 [3 per cell]
2 Re 0.0000 0.0000 0.2447 [3 per cell]
3 Tc 0.0000 0.0000 0.4994 [3 per cell]
4 Tc 0.0000 0.0000 0.7544 [3 per cell]



Entry 8:
Below is HoPd6Au after structural relaxation, with properties calculated at the PBE-GGA level.

Computed properties:
ΔH_f (0 K) in eV/atom: -0.1659
Offset from the most stable computed form in meV/atom: 295

Cell: 8.383 5.284 7.223 Å, 90.00 107.12 90.00°
Space group C2/m (No. 12)
Inequivalent atoms, fractional coordinates:
1 Ho 0.000 0.000 0.000 [2 per cell]
2 Pd 0.145 0.000 0.445 [4 per cell]
3 Pd 0.202 0.244 0.803 [8 per cell]
4 Au 0.000 0.500 0.500 [2 per cell]



| no. | ρ (Mg/m³) |
| --- | --- |
| 1 | 8.32 |
| 2 | 4.75 |
| 3 | 6.72 |
| 4 | 12.81 |
| 5 | 6.59 |
| 6 | 7.96 |
| 7 | 14.93 |
| 8 | 10.87 |